Gd2ScRu after structural relaxation, computed with PBE.

The space group is R-3m (No. 166, hexagonal axes) and the conventional cell measures 3.4160, 3.4160 and 30.9666 Å, with angles of 90.00, 90.00 and 120.00 degrees. The distinct sites, in fractional coordinates, are Gd at (0.0000, 0.0000, 0.1023), Sc at (0.0000, 0.0000, 0.0000) and Ru at (0.0000, 0.0000, 0.5000).

For the polymorph energy (0 for the lowest one), the calculation gives 289 meV per atom. The value obtained for the formation energy is 168 meV/atom. For the total moment, the calculation gives 14.42 μB per formula unit.